# 1
# ScInCoAu PBE relaxed
# E_form, eV per atom: -0.332
data_ScInCoAu
_chemical_formula_sum 'Sc4 In4 Co4 Au4'
_space_group_name_H-M_alt 'F -4 3 m'
_space_group_IT_number 216
_space_group_name_Hall 'F -4 2 3'
_cell_length_a 6.5584
_cell_length_b 6.5584
_cell_length_c 6.5584
_cell_angle_alpha 90.00
_cell_angle_beta 90.00
_cell_angle_gamma 90.00
loop_
_atom_site_label
_atom_site_type_symbol
_atom_site_fract_x
_atom_site_fract_y
_atom_site_fract_z
Sc1 Sc 0.0000 0.0000 0.0000
In1 In 0.0000 0.0000 0.5000
Co1 Co 0.2500 0.2500 0.2500
Au1 Au 0.2500 0.2500 0.7500

=====

# 2
# Ca2MnOs2 PBE relaxed
# E_form, eV per atom: 0.353
data_Ca2MnOs2
_chemical_formula_sum 'Ca4 Mn2 Os4'
_space_group_name_H-M_alt 'P 4/m b m'
_space_group_IT_number 127
_space_group_name_Hall '-P 4 2ab'
_cell_length_a 6.2992
_cell_length_b 6.2992
_cell_length_c 4.9106
_cell_angle_alpha 90.00
_cell_angle_beta 90.00
_cell_angle_gamma 90.00
loop_
_atom_site_label
_atom_site_type_symbol
_atom_site_fract_x
_atom_site_fract_y
_atom_site_fract_z
Ca1 Ca 0.1785 0.3215 0.0000
Mn1 Mn 0.0000 0.0000 0.5000
Os1 Os 0.1359 0.6359 0.5000

=====

# 3
# SbH3Au PBE relaxed
# Distance to the lowest polymorph of the same formula, meV per atom: 23.9
data_SbH3Au
_chemical_formula_sum 'Sb1 H3 Au1'
_space_group_name_H-M_alt 'P m -3 m'
_space_group_IT_number 221
_space_group_name_Hall '-P 4 2 3'
_cell_length_a 3.9815
_cell_length_b 3.9815
_cell_length_c 3.9815
_cell_angle_alpha 90.00
_cell_angle_beta 90.00
_cell_angle_gamma 90.00
loop_
_atom_site_label
_atom_site_type_symbol
_atom_site_fract_x
_atom_site_fract_y
_atom_site_fract_z
Sb1 Sb 0.0000 0.0000 0.0000
H1 H 0.0000 0.0000 0.5000
Au1 Au 0.5000 0.5000 0.5000

=====

Summary of V in A^3/atom
17.63; 19.48; 12.62
(order as listed above)
Summary of final energy in eV/atom
-5.20; -6.77; -2.80
(order as listed above)